No. 1
PBE NaHf3Au, relaxed; total magnetization = 0.00 μB per formula unit; E_form = 807 meV/atom; offset from the most stable computed form = 0.000 eV/atom; E_tot = -6.084 eV/atom
1.0
5.217 0.000 0.000
0.000 5.217 0.000
0.000 0.000 5.217
Na Hf Au
1 3 1
Direct
0.000 0.000 0.000
0.000 0.500 0.500
0.500 0.000 0.500
0.500 0.500 0.000
0.500 0.500 0.500

No. 2
PBE Na2NdThSe4, relaxed; formation energy from raw total energies = -12.65 eV/f.u.; total magnetization = 0.00 μB per formula unit; E_tot = -5.177 eV/atom
1.0
7.315 0.000 0.000
0.000 4.223 0.000
-2.425 0.000 7.100
Na Nd Th Se
2 1 1 4
Direct
0.000 0.000 0.000
0.500 0.500 0.000
0.000 0.500 0.500
0.500 0.000 0.500
0.252 0.000 0.741
0.257 0.500 0.259
0.743 0.500 0.741
0.748 0.000 0.259